Entry 1:
# Ca2SbOsI (PBE-GGA, optimized geometry)
# electronic total energy: -3.2144 eV per atom
# theoretical density: 4.181 g/cm³
# ΔE_f (raw): 0.967 eV per atom
# space-group type: P4/mmm (123)
# M_tot: 2.64 μB per formula unit
data_Ca2SbOsI
_space_group_name_H-M_alt 'P 1'
_space_group_IT_number 1
_space_group_name_Hall 'P 1'
_cell_length_a 5.932
_cell_length_b 5.932
_cell_length_c 5.859
_cell_angle_alpha 90.00
_cell_angle_beta 90.00
_cell_angle_gamma 90.00
loop_
_atom_site_label
_atom_site_type_symbol
_atom_site_fract_x
_atom_site_fract_y
_atom_site_fract_z
Ca1 Ca 0.000 0.500 0.000
Ca2 Ca 0.500 0.000 0.000
Sb1 Sb 0.000 0.000 0.000
Os1 Os 0.500 0.500 0.500
I1 I 0.000 0.000 0.500


Entry 2:
# Li2Cu7F16 (PBE-GGA, optimized geometry)
# electronic total energy: -4.2004 eV per atom
# theoretical density: 4.101 g/cm³
# ΔE_f (raw): -1.703 eV per atom
# space-group type: P-1 (2)
# M_tot: 7.06 μB per formula unit
data_Li2Cu7F16
_space_group_name_H-M_alt 'P 1'
_space_group_IT_number 1
_space_group_name_Hall 'P 1'
_cell_length_a 5.940
_cell_length_b 7.216
_cell_length_c 8.447
_cell_angle_alpha 70.75
_cell_angle_beta 75.04
_cell_angle_gamma 65.90
loop_
_atom_site_label
_atom_site_type_symbol
_atom_site_fract_x
_atom_site_fract_y
_atom_site_fract_z
Li1 Li 0.111 0.267 0.027
Li2 Li 0.889 0.733 0.973
Cu1 Cu 0.044 0.769 0.287
Cu2 Cu 0.264 0.579 0.618
Cu3 Cu 0.397 0.063 0.336
Cu4 Cu 0.500 0.500 0.000
Cu5 Cu 0.603 0.937 0.664
Cu6 Cu 0.736 0.421 0.382
Cu7 Cu 0.956 0.231 0.713
F1 F 0.062 0.275 0.462
F2 F 0.167 0.534 0.852
F3 F 0.169 0.012 0.243
F4 F 0.180 0.719 0.066
F5 F 0.282 0.158 0.761
F6 F 0.374 0.581 0.376
F7 F 0.378 0.281 0.126
F8 F 0.392 0.861 0.564
F9 F 0.608 0.139 0.436
F10 F 0.622 0.719 0.874
F11 F 0.626 0.419 0.624
F12 F 0.718 0.842 0.239
F13 F 0.820 0.281 0.934
F14 F 0.831 0.988 0.757
F15 F 0.833 0.466 0.148
F16 F 0.938 0.725 0.538


Entry 3:
# NaErIn2I6 (PBE-GGA, optimized geometry)
# electronic total energy: -3.0417 eV per atom
# theoretical density: 4.465 g/cm³
# ΔE_f (raw): -0.976 eV per atom
# space-group type: R3 (146)
# M_tot: 0.00 μB per formula unit
data_NaErIn2I6
_space_group_name_H-M_alt 'P 1'
_space_group_IT_number 1
_space_group_name_Hall 'P 1'
_cell_length_a 8.646
_cell_length_b 8.646
_cell_length_c 8.646
_cell_angle_alpha 58.30
_cell_angle_beta 58.30
_cell_angle_gamma 58.30
loop_
_atom_site_label
_atom_site_type_symbol
_atom_site_fract_x
_atom_site_fract_y
_atom_site_fract_z
Na1 Na 0.000 0.000 0.000
Er1 Er 0.494 0.494 0.494
In1 In 0.292 0.292 0.292
In2 In 0.799 0.799 0.799
I1 I 0.146 0.715 0.364
I2 I 0.247 0.634 0.833
I3 I 0.364 0.146 0.715
I4 I 0.634 0.833 0.247
I5 I 0.715 0.364 0.146
I6 I 0.833 0.247 0.634


Entry 4:
# ThMg2 (PBE-GGA, optimized geometry)
# electronic total energy: -3.5082 eV per atom
# theoretical density: 5.860 g/cm³
# calculated formation energy: 0.028 eV per atom
# space-group type: I4/mmm (139)
# M_tot: 0.00 μB per formula unit
data_ThMg2
_space_group_name_H-M_alt 'P 1'
_space_group_IT_number 1
_space_group_name_Hall 'P 1'
_cell_length_a 7.311
_cell_length_b 7.311
_cell_length_c 7.311
_cell_angle_alpha 153.16
_cell_angle_beta 153.16
_cell_angle_gamma 38.32
loop_
_atom_site_label
_atom_site_type_symbol
_atom_site_fract_x
_atom_site_fract_y
_atom_site_fract_z
Th1 Th 0.000 0.000 0.000
Mg1 Mg 0.322 0.322 0.000
Mg2 Mg 0.678 0.678 0.000


Entry 5:
# Li4CuOs (PBE-GGA, optimized geometry)
# electronic total energy: -3.4046 eV per atom
# theoretical density: 6.296 g/cm³
# calculated formation energy: 0.426 eV per atom
# space-group type: F-43m (216)
# M_tot: 0.43 μB per formula unit
data_Li4CuOs
_space_group_name_H-M_alt 'P 1'
_space_group_IT_number 1
_space_group_name_Hall 'P 1'
_cell_length_a 4.718
_cell_length_b 4.718
_cell_length_c 4.718
_cell_angle_alpha 60.00
_cell_angle_beta 60.00
_cell_angle_gamma 60.00
loop_
_atom_site_label
_atom_site_type_symbol
_atom_site_fract_x
_atom_site_fract_y
_atom_site_fract_z
Li1 Li 0.124 0.124 0.124
Li2 Li 0.124 0.124 0.628
Li3 Li 0.124 0.628 0.124
Li4 Li 0.628 0.124 0.124
Cu1 Cu 0.500 0.500 0.500
Os1 Os 0.750 0.750 0.750


Entry 6:
# VAgTe2N (PBE-GGA, optimized geometry)
# electronic total energy: -5.1720 eV per atom
# theoretical density: 6.618 g/cm³
# ΔE_f (raw): 0.144 eV per atom
# space-group type: P4/mmm (123)
# M_tot: 0.43 μB per formula unit
data_VAgTe2N
_space_group_name_H-M_alt 'P 1'
_space_group_IT_number 1
_space_group_name_Hall 'P 1'
_cell_length_a 5.455
_cell_length_b 5.455
_cell_length_c 3.610
_cell_angle_alpha 90.00
_cell_angle_beta 90.00
_cell_angle_gamma 90.00
loop_
_atom_site_label
_atom_site_type_symbol
_atom_site_fract_x
_atom_site_fract_y
_atom_site_fract_z
V1 V 0.000 0.000 0.000
Ag1 Ag 0.500 0.500 0.500
Te1 Te 0.000 0.500 0.000
Te2 Te 0.500 0.000 0.000
N1 N 0.000 0.000 0.500


Entry 7:
# ZrMoAu2 (PBE-GGA, optimized geometry)
# electronic total energy: -6.3291 eV per atom
# theoretical density: 13.021 g/cm³
# calculated formation energy: 0.154 eV per atom
# space-group type: R3m (160)
# M_tot: 0.00 μB per formula unit
data_ZrMoAu2
_space_group_name_H-M_alt 'P 1'
_space_group_IT_number 1
_space_group_name_Hall 'P 1'
_cell_length_a 9.845
_cell_length_b 9.845
_cell_length_c 9.845
_cell_angle_alpha 17.36
_cell_angle_beta 17.36
_cell_angle_gamma 17.36
loop_
_atom_site_label
_atom_site_type_symbol
_atom_site_fract_x
_atom_site_fract_y
_atom_site_fract_z
Zr1 Zr 0.000 0.000 0.000
Mo1 Mo 0.755 0.755 0.755
Au1 Au 0.250 0.250 0.250
Au2 Au 0.499 0.499 0.499


Entry 8:
# TaP2Au (PBE-GGA, optimized geometry)
# electronic total energy: -6.5774 eV per atom
# theoretical density: 10.658 g/cm³
# calculated formation energy: -0.090 eV per atom
# space-group type: Imm2 (44)
# M_tot: 0.00 μB per formula unit
data_TaP2Au
_space_group_name_H-M_alt 'P 1'
_space_group_IT_number 1
_space_group_name_Hall 'P 1'
_cell_length_a 6.136
_cell_length_b 6.136
_cell_length_c 6.136
_cell_angle_alpha 148.02
_cell_angle_beta 145.80
_cell_angle_gamma 47.52
loop_
_atom_site_label
_atom_site_type_symbol
_atom_site_fract_x
_atom_site_fract_y
_atom_site_fract_z
Ta1 Ta 0.000 0.000 0.000
P1 P 0.575 0.575 0.000
P2 P 0.834 0.334 0.500
Au1 Au 0.280 0.780 0.500